Compound: P2PbWO
Source: Alexandria via LeMat-Bulk
Functional: GGA+U
Structure: optimized geometry

Unit cell a=5.264 b=5.264 c=4.173 alpha=90.00 beta=90.00 gamma=90.00
Last column: magnetic moment on the atom in μB.
Fractional positions:
Pb (0.000, 0.000, 0.000)  0.01
P (0.000, 0.500, 0.000)  -0.34
P (0.500, 0.000, 0.000)  -0.34
O (0.000, 0.000, 0.500)  -0.11
W (0.500, 0.500, 0.500)  3.31

## Properties
M_tot: 2.46 μB per formula unit
Offset from the most stable computed form: 646 kJ/mol of formula units